(1)
Material: Tb3Nd2Zn3
Method: DFT, PBE
State: optimized geometry

Results
Space group = Immm
Formation energy = -22.03 kJ per mole of atoms
M_tot = 0.0000 μB per atom
Calculated density = 7.66 g/cm3

Cell: 11.3873 11.3873 11.3873 Å, 161.44 153.66 32.42°
Element x y z (fractional)
Tb 0.0000 0.0000 0.0000
Tb 0.3853 0.8853 0.5000
Tb 0.6147 0.1147 0.5000
Nd 0.2273 0.2273 0.0000
Nd 0.7727 0.7727 0.0000
Zn 0.1114 0.6114 0.5000
Zn 0.5000 0.5000 0.0000
Zn 0.8886 0.3886 0.5000

(2)
Material: TlGeC
Method: DFT, PBE
State: optimized geometry

Results
Space group = P3m1
Formation energy = 59.53 kJ per mole of atoms
M_tot = 0.0000 μB per atom
Offset from the most stable computed form = 0.097 eV per atom
Calculated density = 7.86 g/cm3

Cell: 3.2952 3.2952 6.4899 Å, 90.00 90.00 120.00°
Element x y z (fractional)
Tl 0.0000 0.0000 0.0000
Ge 0.6667 0.3333 0.5199
C 0.0000 0.0000 0.5015